Entry 1:
This record from the Alexandria database describes a geometry-optimized K2TiGaS4 structure. The functional is GGA-PBE.

a = 6.1877 Å, b = 13.3952 Å, c = 22.7072 Å
α = 90.00°, β = 90.00°, γ = 90.00°
Closest atoms and distances in Å follow each position.
Space group Fddd (No. 70, origin choice 2)
Symmetry-distinct sites (fractional):
K: 0.1250 0.1250 0.3052 (multiplicity 16)  8 S 3.47-3.78
Ti: 0.1250 0.1250 0.1250 (multiplicity 8)  4 S 2.30
Ga: 0.1250 0.1250 0.6250 (multiplicity 8)  4 S 2.36
S: 0.1182 0.2800 0.4274 (multiplicity 32)  1 Ti 2.30, 1 Ga 2.36

Results
D(E_F): 22.36 states/eV/cell
Energy: -4.808 eV/atom
Formation energy from raw total energies: -1.10 eV/atom

=====

Entry 2:
This record from the Alexandria database describes a geometry-optimized K2TmGaS4 structure. The functional is GGA-PBE.

a = 7.9331 Å, b = 8.2177 Å, c = 11.5820 Å
α = 90.00°, β = 90.00°, γ = 90.00°
Closest atoms and distances in Å follow each position.
Space group Imma (No. 74)
Symmetry-distinct sites (fractional):
K: 0.0000 0.0000 0.0000 (multiplicity 4)  6 S 3.01-3.06
K: 0.2500 0.2500 0.2500 (multiplicity 4)  6 S 3.12-3.15
Tm: 0.0000 0.0000 0.5000 (multiplicity 4)  6 S 2.72-2.78
Ga: 0.2500 0.2500 0.7500 (multiplicity 4)  6 S 2.60-2.68
S: 0.0000 0.0468 0.7380 (multiplicity 8)  2 Ga 2.60, 1 Tm 2.78
S: 0.2237 0.2500 0.5191 (multiplicity 8)  1 Ga 2.68, 2 Tm 2.72

Results
Energy: -4.515 eV/atom
Formation energy from raw total energies: -1.24 eV/atom

=====

Entry 3:
This record from the Alexandria database describes a geometry-optimized K3U3GaS8 structure. The functional is GGA-PBE.

a = 8.1742 Å, b = 8.1742 Å, c = 21.8691 Å
α = 90.00°, β = 90.00°, γ = 120.00°
Closest atoms and distances in Å follow each position.
Space group R-3m (No. 166, hexagonal axes)
Symmetry-distinct sites (fractional):
K: 0.0000 0.5000 0.0000 (multiplicity 9)  6 S 3.20-3.31
U: 0.0000 0.5000 0.5000 (multiplicity 9)  6 S 2.69-2.79
Ga: 0.0000 0.0000 0.5000 (multiplicity 3)  6 S 2.85
S: 0.0000 0.0000 0.2346 (multiplicity 6)  3 U 2.79
S: 0.0182 0.5091 0.7697 (multiplicity 18)  2 U 2.69, 1 Ga 2.85

Results
D(E_F): 38.73 states/eV/cell
Energy: -6.148 eV/atom
Formation energy from raw total energies: -1.27 eV/atom

=====

Entry 4:
This record from the Alexandria database describes a geometry-optimized K2U3GaS8 structure. The functional is GGA-PBE.

a = 8.0769 Å, b = 8.0769 Å, c = 23.1339 Å
α = 90.00°, β = 90.00°, γ = 120.00°
Closest atoms and distances in Å follow each position.
Space group R3m (No. 160, hexagonal axes)
Symmetry-distinct sites (fractional):
K: 0.0000 0.0000 0.0000 (multiplicity 3)  4 S 3.07-3.17
K: 0.0000 0.0000 0.3652 (multiplicity 3)  6 S 3.22-3.28
U: 0.0006 0.5003 0.8655 (multiplicity 9)  6 S 2.63-2.73
Ga: 0.0000 0.0000 0.7565 (multiplicity 3)  3 S 2.69
S: 0.0000 0.0000 0.1368 (multiplicity 3)  3 U 2.73
S: 0.0000 0.0000 0.5921 (multiplicity 3)  3 U 2.72
S: 0.0187 0.5094 0.1370 (multiplicity 9)  2 U 2.68, 1 Ga 2.69
S: 0.1827 0.3655 0.9265 (multiplicity 9)  2 U 2.63

Results
D(E_F): 43.36 states/eV/cell
Energy: -6.389 eV/atom
Formation energy from raw total energies: -1.24 eV/atom

=====

Entry 5:
This record from the Alexandria database describes a geometry-optimized K2UGaS5 structure. The functional is GGA-PBE.

a = 4.0069 Å, b = 18.3897 Å, c = 13.9067 Å
α = 90.00°, β = 90.00°, γ = 90.00°
Closest atoms and distances in Å follow each position.
Space group Cmc2_1 (No. 36)
Symmetry-distinct sites (fractional):
K: 0.0000 0.1048 0.0000 (multiplicity 4)  5 S 3.16-3.51
K: 0.0000 0.1230 0.6549 (multiplicity 4)  7 S 3.14-3.51
U: 0.0000 0.2067 0.3558 (multiplicity 4)  6 S 2.44-2.73
Ga: 0.0000 0.4332 0.7485 (multiplicity 4)  2 S 2.16-2.38
S: 0.0000 0.0584 0.3489 (multiplicity 4)  2 Ga 2.45, 1 U 2.73
S: 0.0000 0.2949 0.9781 (multiplicity 4)  2 U 2.63
S: 0.0000 0.3050 0.7246 (multiplicity 4)  1 Ga 2.38
S: 0.0000 0.3385 0.3350 (multiplicity 4)  1 U 2.44
S: 0.0000 0.4945 0.6162 (multiplicity 4)  1 Ga 2.16

Results
D(E_F): 18.28 states/eV/cell
Energy: -5.279 eV/atom
Formation energy from raw total energies: -1.15 eV/atom

=====

Entry 6:
This record from the Alexandria database describes a geometry-optimized K2GaWS structure. The functional is GGA-PBE.

a = 6.7423 Å, b = 6.7423 Å, c = 4.4890 Å
α = 90.00°, β = 90.00°, γ = 90.00°
Closest atoms and distances in Å follow each position.
Space group P4/mmm (No. 123)
Symmetry-distinct sites (fractional):
K: 0.0000 0.5000 0.0000 (multiplicity 2)  2 W 3.37
Ga: 0.0000 0.0000 0.5000 (multiplicity 1)  8 K 4.05, 2 Ga 4.49
W: 0.5000 0.5000 0.0000 (multiplicity 1)  2 S 2.24
S: 0.5000 0.5000 0.5000 (multiplicity 1)  2 W 2.24

Results
D(E_F): 4.65 states/eV/cell
Energy: -3.746 eV/atom
Formation energy from raw total energies: 0.71 eV/atom